The following is a PBE calculation of a relaxed MnAsH2 crystal, from the Alexandria database.

abc: 3.7927 3.7927 6.2841
angles: 72.44 72.44 90.00
With the nearest neighbours (Å) after each atom.
Fractional coordinates of all 8 atoms:
H 0.3940 0.1250 0.2500  2 Mn 1.71, 2 H 1.90
H 0.3560 0.6250 0.2500  2 Mn 1.71, 2 H 1.90
H 0.3750 0.6060 0.7500  2 Mn 1.71, 2 H 1.90
H 0.8750 0.6440 0.7500  2 Mn 1.71, 2 H 1.90
As 0.0000 0.0000 0.0000  8 H 2.50-2.61, 4 Mn 2.68
As 0.7500 0.2500 0.5000  8 H 2.50-2.61, 4 Mn 2.68
Mn 0.5000 0.5000 0.0000  4 H 1.71
Mn 0.2500 0.7500 0.5000  4 H 1.71

Final energy: -4.73 eV/atom
Relative energy among the computed polymorphs: 0.0000 eV per atom
Theoretical density: 5.36 Mg/m³
SG: I-42d (122)